(1)
This record from Alexandria via LeMat-Bulk describes LaWCl2 after structural relaxation. The functional is PBE-GGA.

Cell: 9.932 9.932 9.932 Å, 19.71 19.71 19.71°
Element x y z (fractional)
Cl 0.238 0.238 0.238
Cl 0.022 0.022 0.022
W 0.740 0.740 0.740
La 0.499 0.499 0.499

Output
**E above lowest polymorph**: 0.0 meV/atom
**Spin magnetization**: 0.000 μB/f.u.
**DOS(E_F)**: 0.30 states/eV per atom



(2)
This record from Alexandria via LeMat-Bulk describes La2WCl after structural relaxation. The functional is PBE-GGA.

Cell: 3.601 3.543 8.665 Å, 89.25 90.00 90.00°
Element x y z (fractional)
La 0.000 0.757 0.037
La 0.000 0.743 0.463
W 0.500 0.250 0.250
Cl 0.500 0.750 0.750

Output
**E above lowest polymorph**: 0.0 meV/atom
**Spin magnetization**: 0.000 μB/f.u.
**DOS(E_F)**: 1.03 states/eV per atom



(3)
This record from Alexandria via LeMat-Bulk describes LaY3Cl after structural relaxation. The functional is PBE-GGA.

Cell: 5.818 5.818 5.818 Å, 90.00 90.00 90.00°
Element x y z (fractional)
Y 0.500 0.000 0.000
Y 0.000 0.500 0.000
Y 0.000 0.000 0.500
La 0.000 0.000 0.000
Cl 0.500 0.500 0.500

Output
**E above lowest polymorph**: 1182.6 meV/atom
**Spin magnetization**: 0.000 μB/f.u.
**DOS(E_F)**: 1.23 states/eV per atom



(4)
This record from Alexandria via LeMat-Bulk describes La3YCl after structural relaxation. The functional is PBE-GGA.

Cell: 5.575 5.575 5.575 Å, 90.00 90.00 90.00°
Element x y z (fractional)
La 0.500 0.000 0.000
La 0.000 0.500 0.000
La 0.000 0.000 0.500
Y 0.500 0.500 0.500
Cl 0.000 0.000 0.000

Output
**E above lowest polymorph**: 0.0 meV/atom
**Spin magnetization**: 0.000 μB/f.u.
**DOS(E_F)**: 1.20 states/eV per atom



(5)
This record from Alexandria via LeMat-Bulk describes LaYCl2 after structural relaxation. The functional is PBE-GGA.

Cell: 10.188 10.188 3.722 Å, 101.55 101.55 21.05°
Element x y z (fractional)
Cl 0.983 0.983 0.969
Cl 0.762 0.762 0.775
La 0.556 0.556 0.549
Y 0.200 0.200 0.207

Output
**E above lowest polymorph**: 41.5 meV/atom
**Spin magnetization**: 0.000 μB/f.u.
**DOS(E_F)**: 0.72 states/eV per atom



(6)
This record from Alexandria via LeMat-Bulk describes LaYCl2 after structural relaxation. The functional is PBE-GGA.

Cell: 7.471 7.471 7.471 Å, 148.83 148.83 44.67°
Element x y z (fractional)
Y 0.750 0.250 0.500
La 0.500 0.500 0.000
Cl 0.000 0.000 0.000
Cl 0.250 0.750 0.500

Output
**E above lowest polymorph**: 302.2 meV/atom
**Spin magnetization**: 0.001 μB/f.u.
**DOS(E_F)**: 0.83 states/eV per atom